Pm6Si2PtCl3: optimized geometry, PBE.

Lattice parameters (Å, degrees): 9.402 9.402 8.550 101.93 101.93 25.53
Fractional positions:
Pm 0.005 0.005 0.232
Pm 0.328 0.328 0.426
Pm 0.338 0.338 0.898
Pm 0.662 0.662 0.102
Pm 0.672 0.672 0.574
Pm 0.995 0.995 0.768
Si 0.166 0.166 0.338
Si 0.834 0.834 0.662
Pt 0.500 0.500 0.000
Cl 0.172 0.172 0.837
Cl 0.500 0.500 0.500
Cl 0.828 0.828 0.163

- Energy: -5.45 eV per atom


LiOsBr2: optimized geometry, PBE.

Lattice parameters (Å, degrees): 7.423 7.423 7.423 136.55 136.55 63.13
Fractional positions:
Li 0.000 0.000 0.000
Li 0.750 0.250 0.500
Os 0.250 0.750 0.500
Os 0.500 0.500 0.000
Br 0.139 0.625 0.014
Br 0.375 0.389 0.514
Br 0.611 0.125 0.986
Br 0.875 0.861 0.486

- Offset from the most stable computed form: 0.275 eV per atom
- Energy: -3.76 eV per atom


V2PdW2: optimized geometry, PBE.

Lattice parameters (Å, degrees): 6.980 6.980 3.129 90.00 90.00 90.00
Fractional positions:
V 0.113 0.387 0.000
V 0.387 0.887 0.000
V 0.613 0.113 0.000
V 0.887 0.613 0.000
Pd 0.000 0.000 0.000
Pd 0.500 0.500 0.000
W 0.193 0.693 0.500
W 0.307 0.193 0.500
W 0.693 0.807 0.500
W 0.807 0.307 0.500

- DFT formation energy: 0.380 eV per atom
- Offset from the most stable computed form: 0.000 eV per atom
- Energy: -9.49 eV per atom


Sr5Ta4O15: optimized geometry, PBE.

Lattice parameters (Å, degrees): 5.716 5.716 11.665 90.00 90.00 120.00
Fractional positions:
Sr 0.000 0.000 0.000
Sr 0.333 0.667 0.442
Sr 0.333 0.667 0.777
Sr 0.667 0.333 0.223
Sr 0.667 0.333 0.558
Ta 0.000 0.000 0.317
Ta 0.000 0.000 0.683
Ta 0.333 0.667 0.104
Ta 0.667 0.333 0.896
O 0.000 0.500 0.000
O 0.165 0.330 0.192
O 0.165 0.835 0.192
O 0.169 0.337 0.609
O 0.169 0.831 0.609
O 0.330 0.165 0.808
O 0.337 0.169 0.391
O 0.500 0.000 0.000
O 0.500 0.500 0.000
O 0.663 0.831 0.609
O 0.670 0.835 0.192
O 0.831 0.169 0.391
O 0.831 0.663 0.391
O 0.835 0.165 0.808
O 0.835 0.670 0.808

- Offset from the most stable computed form: 0.016 eV per atom
- Energy: -8.45 eV per atom


ErOsPb2O8: optimized geometry, PBE.

Lattice parameters (Å, degrees): 5.074 6.742 5.074 90.00 90.43 90.00
Fractional positions:
Er 0.000 0.000 0.000
Os 0.000 0.500 0.000
Pb 0.500 0.252 0.500
Pb 0.500 0.748 0.500
O 0.183 0.281 0.179
O 0.183 0.719 0.179
O 0.257 0.500 0.738
O 0.304 0.000 0.693
O 0.696 0.000 0.307
O 0.743 0.500 0.262
O 0.817 0.281 0.821
O 0.817 0.719 0.821

- Energy: -6.69 eV per atom


MgPaGe2Ir5: optimized geometry, PBE.

Lattice parameters (Å, degrees): 4.127 4.127 9.153 90.00 90.00 90.00
Fractional positions:
Mg 0.000 0.000 0.000
Pa 0.000 0.000 0.500
Ge 0.500 0.500 0.131
Ge 0.500 0.500 0.869
Ir 0.000 0.500 0.278
Ir 0.000 0.500 0.722
Ir 0.500 0.000 0.278
Ir 0.500 0.000 0.722
Ir 0.500 0.500 0.500

- DFT formation energy: -0.530 eV per atom
- Energy: -7.71 eV per atom


Pr2ThNi9: optimized geometry, PBE.

Lattice parameters (Å, degrees): 8.857 8.857 8.857 32.99 32.99 32.99
Fractional positions:
Pr 0.139 0.139 0.139
Pr 0.861 0.861 0.861
Th 0.000 0.000 0.000
Ni 0.082 0.580 0.580
Ni 0.333 0.333 0.333
Ni 0.420 0.420 0.918
Ni 0.420 0.918 0.420
Ni 0.500 0.500 0.500
Ni 0.580 0.082 0.580
Ni 0.580 0.580 0.082
Ni 0.667 0.667 0.667
Ni 0.918 0.420 0.420

- DFT formation energy: -0.346 eV per atom
- Energy: -6.10 eV per atom


Bi3MoW: optimized geometry, PBE.

Lattice parameters (Å, degrees): 5.404 5.404 5.404 90.00 90.00 90.00
Fractional positions:
Bi 0.000 0.000 0.500
Bi 0.000 0.500 0.000
Bi 0.500 0.000 0.000
Mo 0.500 0.500 0.500
W 0.000 0.000 0.000

- DFT formation energy: 1.476 eV per atom
- Offset from the most stable computed form: 0.000 eV per atom
- Energy: -5.61 eV per atom


- What is the formula in the fourth record?
  Sr5Ta4O15


- What is the formula in the sixth record?
  MgPaGe2Ir5


- Which value of energy does entry 3 give?
  -9.49 eV per atom